# Ac2Zn2Cd3

A geometry-optimized Ac2Zn2Cd3 structure (GGA-PBE, the Alexandria database).

Unit cell a=4.494 b=22.887 c=3.763 alpha=90.00 beta=90.00 gamma=90.00
Space group Cmmm (No. 65)
Inequivalent atoms, fractional coordinates:
Ac 0.000 0.157 0.000 (multiplicity 4)
Zn 0.000 0.277 0.500 (multiplicity 4)
Cd 0.000 0.000 0.000 (multiplicity 2)
Cd 0.000 0.433 0.500 (multiplicity 4)

Results
**Energy above the most stable polymorph in this dataset**: 47 meV per atom
**Calculated formation energy**: -1.32 eV/f.u.
**Raw total energy**: -29.66 eV/cell
**V**: 387.0 Å³ per cell

---

# Li4CuAg7

A geometry-optimized Li4CuAg7 structure (GGA-PBE, the Alexandria database).

Unit cell a=10.026 b=4.900 c=9.761 alpha=90.00 beta=113.80 gamma=90.00
Space group C2/m (No. 12)
Inequivalent atoms, fractional coordinates:
Li 0.123 0.000 0.279 (multiplicity 4)
Li 0.151 0.500 0.114 (multiplicity 4)
Cu 0.000 0.500 0.500 (multiplicity 2)
Ag 0.000 0.000 0.500 (multiplicity 2)
Ag 0.091 0.500 0.793 (multiplicity 4)
Ag 0.129 0.000 0.975 (multiplicity 4)
Ag 0.207 0.500 0.412 (multiplicity 4)

Results
**Energy above the most stable polymorph in this dataset**: 119 meV per atom
**Calculated formation energy**: 0.10 eV/f.u.
**Raw total energy**: -63.23 eV/cell
**V**: 438.7 Å³ per cell

---

# Ce2DyTc

A geometry-optimized Ce2DyTc structure (GGA-PBE, the Alexandria database).

Unit cell a=10.896 b=6.524 c=6.030 alpha=90.00 beta=90.00 gamma=90.00
Space group Cmcm (No. 63)
Inequivalent atoms, fractional coordinates:
Ce 0.181 0.174 0.250 (multiplicity 8)
Dy 0.000 0.371 0.750 (multiplicity 4)
Tc 0.000 0.000 0.000 (multiplicity 4)

Results
**Energy above the most stable polymorph in this dataset**: 0 meV per atom
**Calculated formation energy**: -0.17 eV/f.u.
**Raw total energy**: -108.02 eV/cell
**V**: 428.6 Å³ per cell

---

# NdLuInAu

A geometry-optimized NdLuInAu structure (GGA-PBE, the Alexandria database).

Unit cell a=7.445 b=7.445 c=7.445 alpha=90.00 beta=90.00 gamma=90.00
Space group F-43m (No. 216)
Inequivalent atoms, fractional coordinates:
Nd 0.000 0.000 0.000 (multiplicity 4)
Lu 0.000 0.000 0.500 (multiplicity 4)
In 0.250 0.250 0.250 (multiplicity 4)
Au 0.250 0.250 0.750 (multiplicity 4)

Results
**Calculated formation energy**: -2.30 eV/f.u.
**Raw total energy**: -70.44 eV/cell
**V**: 412.7 Å³ per cell

---

# RbYS2Cl

A geometry-optimized RbYS2Cl structure (GGA-PBE, the Alexandria database).

Unit cell a=5.308 b=5.308 c=5.486 alpha=90.00 beta=90.00 gamma=90.00
Space group P4/mmm (No. 123)
Inequivalent atoms, fractional coordinates:
Rb 0.000 0.000 0.000 (multiplicity 1)
Y 0.500 0.500 0.500 (multiplicity 1)
S 0.000 0.500 0.500 (multiplicity 2)
Cl 0.500 0.500 0.000 (multiplicity 1)

Results
**Energy above the most stable polymorph in this dataset**: 0 meV per atom
**Raw total energy**: -25.20 eV/cell
**Formation energy (no corrections)**: -147.9 kJ/mol of atoms
**V**: 154.6 Å³ per cell

---

# HoCd11Cu

A geometry-optimized HoCd11Cu structure (GGA-PBE, the Alexandria database).

Unit cell a=5.816 b=14.045 c=7.534 alpha=90.00 beta=112.26 gamma=90.00
Space group C2/m (No. 12)
Inequivalent atoms, fractional coordinates:
Ho 0.000 0.000 0.000 (multiplicity 2)
Cd 0.000 0.000 0.500 (multiplicity 2)
Cd 0.093 0.397 0.217 (multiplicity 8)
Cd 0.187 0.170 0.356 (multiplicity 8)
Cd 0.250 0.250 0.000 (multiplicity 4)
Cu 0.000 0.500 0.500 (multiplicity 2)

Results
**Calculated formation energy**: -0.79 eV/f.u.
**Raw total energy**: -39.06 eV/cell
**V**: 569.5 Å³ per cell

---

# KMn2Fe

A geometry-optimized KMn2Fe structure (GGA-PBE, the Alexandria database).

Unit cell a=2.768 b=5.318 c=10.583 alpha=90.00 beta=90.00 gamma=90.00
Space group Imm2 (No. 44)
Inequivalent atoms, fractional coordinates:
K 0.000 0.000 0.000 (multiplicity 2)
Mn 0.000 0.000 0.473 (multiplicity 2)
Mn 0.000 0.500 0.210 (multiplicity 2)
Fe 0.000 0.500 0.777 (multiplicity 2)

Results
**Energy above the most stable polymorph in this dataset**: 409 meV per atom
**Calculated formation energy**: 4.43 eV/f.u.
**Raw total energy**: -46.94 eV/cell
**V**: 155.8 Å³ per cell

---

# FePt2

A geometry-optimized FePt2 structure (GGA-PBE, the Alexandria database).

Unit cell a=7.348 b=7.348 c=7.348 alpha=90.00 beta=90.00 gamma=90.00
Space group Fd-3m (No. 227, origin choice 2)
Inequivalent atoms, fractional coordinates:
Fe 0.125 0.125 0.125 (multiplicity 8)
Pt 0.000 0.000 0.500 (multiplicity 16)

Results
**Calculated formation energy**: 0.68 eV/f.u.
**Raw total energy**: -158.89 eV/cell
**V**: 396.8 Å³ per cell

---

# Sm2Y7Er

A geometry-optimized Sm2Y7Er structure (GGA-PBE, the Alexandria database).

Unit cell a=6.183 b=7.153 c=7.992 alpha=102.90 beta=97.34 gamma=106.71
Space group P-1 (No. 2)
Inequivalent atoms, fractional coordinates:
Sm 0.102 0.200 0.199 (multiplicity 2)
Y 0.100 0.700 0.199 (multiplicity 2)
Y 0.299 0.100 0.600 (multiplicity 2)
Y 0.299 0.599 0.600 (multiplicity 2)
Y 0.500 0.000 0.000 (multiplicity 1)
Er 0.500 0.500 0.000 (multiplicity 1)

Results
**Energy above the most stable polymorph in this dataset**: 0 meV per atom
**Calculated formation energy**: 0.22 eV/f.u.
**Raw total energy**: -59.03 eV/cell
**V**: 323.0 Å³ per cell

---

# CeDyIr

A geometry-optimized CeDyIr structure (GGA-PBE, the Alexandria database).

Unit cell a=6.853 b=6.853 c=6.853 alpha=90.00 beta=90.00 gamma=90.00
Space group F-43m (No. 216)
Inequivalent atoms, fractional coordinates:
Ce 0.000 0.000 0.000 (multiplicity 4)
Dy 0.000 0.000 0.500 (multiplicity 4)
Ir 0.250 0.250 0.250 (multiplicity 4)

Results
**Energy above the most stable polymorph in this dataset**: 12 meV per atom
**Calculated formation energy**: -1.61 eV/f.u.
**Raw total energy**: -84.04 eV/cell
**V**: 321.8 Å³ per cell

---

# SmZn5Cu2Pd

A geometry-optimized SmZn5Cu2Pd structure (GGA-PBE, the Alexandria database).

Unit cell a=4.673 b=4.673 c=7.040 alpha=90.00 beta=90.00 gamma=90.00
Space group P4/mmm (No. 123)
Inequivalent atoms, fractional coordinates:
Sm 0.000 0.000 0.000 (multiplicity 1)
Zn 0.000 0.500 0.299 (multiplicity 4)
Zn 0.500 0.500 0.000 (multiplicity 1)
Cu 0.500 0.500 0.334 (multiplicity 2)
Pd 0.000 0.000 0.500 (multiplicity 1)

Results
**Calculated formation energy**: -1.22 eV/f.u.
**Raw total energy**: -25.69 eV/cell
**V**: 153.7 Å³ per cell

---

# Pm2Al3SiAu4

A geometry-optimized Pm2Al3SiAu4 structure (GGA-PBE, the Alexandria database).

Unit cell a=4.402 b=4.402 c=10.362 alpha=90.00 beta=90.00 gamma=90.00
Space group P-4m2 (No. 115)
Inequivalent atoms, fractional coordinates:
Pm 0.000 0.500 0.247 (multiplicity 2)
Al 0.000 0.000 0.000 (multiplicity 1)
Al 0.000 0.500 0.632 (multiplicity 2)
Si 0.500 0.500 0.000 (multiplicity 1)
Au 0.000 0.000 0.500 (multiplicity 1)
Au 0.000 0.500 0.874 (multiplicity 2)
Au 0.500 0.500 0.500 (multiplicity 1)

Results
**Raw total energy**: -46.12 eV/cell
**Formation energy (no corrections)**: -66.1 kJ/mol of atoms
**V**: 200.7 Å³ per cell

---

# MgCuSi

A geometry-optimized MgCuSi structure (GGA-PBE, the Alexandria database).

Unit cell a=4.1070 b=4.1070 c=3.1913 alpha=90.00 beta=90.00 gamma=120.00
Space group P-6m2 (No. 187)
Inequivalent atoms, fractional coordinates:
Mg 0.0000 0.0000 0.0000 (multiplicity 1)
Cu 0.3333 0.6667 0.5000 (multiplicity 1)
Si 0.6667 0.3333 0.5000 (multiplicity 1)

Results
**Raw total energy**: -11.48 eV/cell
**Formation energy (no corrections)**: -11.7 kJ/mol of atoms
**V**: 46.6 Å³ per cell

---

# Sr3TmPt8

A geometry-optimized Sr3TmPt8 structure (GGA-PBE, the Alexandria database).

Unit cell a=5.5401 b=5.5401 c=27.0207 alpha=90.00 beta=90.00 gamma=120.00
Space group R3m (No. 160, hexagonal axes)
Inequivalent atoms, fractional coordinates:
Sr 0.0000 0.0000 0.0000 (multiplicity 3)
Sr 0.0000 0.0000 0.1245 (multiplicity 3)
Sr 0.0000 0.0000 0.6266 (multiplicity 3)
Tm 0.0000 0.0000 0.5013 (multiplicity 3)
Pt 0.0000 0.0000 0.3130 (multiplicity 3)
Pt 0.0000 0.0000 0.8135 (multiplicity 3)
Pt 0.0047 0.5023 0.0659 (multiplicity 9)
Pt 0.1685 0.3371 0.8938 (multiplicity 9)

Results
**Calculated formation energy**: -10.94 eV/f.u.
**Raw total energy**: -206.36 eV/cell
**V**: 718.2 Å³ per cell

---

# AcTl3Pb2

A geometry-optimized AcTl3Pb2 structure (GGA-PBE, the Alexandria database).

Unit cell a=5.399 b=13.027 c=5.441 alpha=90.00 beta=90.00 gamma=90.00
Space group Cmmm (No. 65)
Inequivalent atoms, fractional coordinates:
Ac 0.000 0.000 0.000 (multiplicity 2)
Tl 0.000 0.170 0.500 (multiplicity 4)
Tl 0.000 0.500 0.500 (multiplicity 2)
Pb 0.000 0.318 0.000 (multiplicity 4)

Results
**Calculated formation energy**: -1.01 eV/f.u.
**Raw total energy**: -39.26 eV/cell
**V**: 382.6 Å³ per cell

---

# HoTm2Cu9

A geometry-optimized HoTm2Cu9 structure (GGA-PBE, the Alexandria database).

Unit cell a=5.1204 b=5.1204 c=24.8498 alpha=90.00 beta=90.00 gamma=120.00
Space group R-3m (No. 166, hexagonal axes)
Inequivalent atoms, fractional coordinates:
Ho 0.0000 0.0000 0.0000 (multiplicity 3)
Tm 0.0000 0.0000 0.1410 (multiplicity 6)
Cu 0.0000 0.0000 0.3326 (multiplicity 6)
Cu 0.0000 0.0000 0.5000 (multiplicity 3)
Cu 0.0007 0.5003 0.9175 (multiplicity 18)

Results
**Calculated formation energy**: -2.65 eV/f.u.
**Raw total energy**: -159.11 eV/cell
**V**: 564.2 Å³ per cell

---

# TlNi2Rh

A geometry-optimized TlNi2Rh structure (GGA-PBE, the Alexandria database).

Unit cell a=2.9007 b=2.9007 c=25.2295 alpha=90.00 beta=90.00 gamma=120.00
Space group R-3m (No. 166, hexagonal axes)
Inequivalent atoms, fractional coordinates:
Tl 0.0000 0.0000 0.0000 (multiplicity 3)
Ni 0.0000 0.0000 0.2450 (multiplicity 6)
Rh 0.0000 0.0000 0.5000 (multiplicity 3)

Results
**Energy above the most stable polymorph in this dataset**: 263 meV per atom
**Calculated formation energy**: 1.84 eV/f.u.
**Raw total energy**: -58.33 eV/cell
**V**: 183.8 Å³ per cell

---

# Ba2CdCu

A geometry-optimized Ba2CdCu structure (GGA-PBE, the Alexandria database).

Unit cell a=4.058 b=4.117 c=8.395 alpha=90.00 beta=90.00 gamma=90.00
Space group Pmmm (No. 47)
Inequivalent atoms, fractional coordinates:
Ba 0.000 0.000 0.232 (multiplicity 2)
Cd 0.500 0.500 0.500 (multiplicity 1)
Cu 0.500 0.500 0.000 (multiplicity 1)

Results
**Calculated formation energy**: -0.42 eV/f.u.
**Raw total energy**: -9.28 eV/cell
**V**: 140.2 Å³ per cell

---

# Pr8NdGa6

A geometry-optimized Pr8NdGa6 structure (GGA-PBE, the Alexandria database).

Unit cell a=8.9639 b=8.9639 c=19.1099 alpha=90.00 beta=90.00 gamma=120.00
Space group R-3 (No. 148, hexagonal axes)
Inequivalent atoms, fractional coordinates:
Pr 0.0000 0.0000 0.1666 (multiplicity 6)
Pr 0.9996 0.3327 0.2807 (multiplicity 18)
Nd 0.0000 0.0000 0.5000 (multiplicity 3)
Ga 0.0000 0.3317 0.4448 (multiplicity 18)

Results
**Calculated formation energy**: -5.27 eV/f.u.
**Raw total energy**: -199.32 eV/cell
**V**: 1329.8 Å³ per cell

---

# Rb2MgReBr6

A geometry-optimized Rb2MgReBr6 structure (GGA-PBE, the Alexandria database).

Unit cell a=10.661 b=10.661 c=10.661 alpha=90.00 beta=90.00 gamma=90.00
Space group Fm-3m (No. 225)
Inequivalent atoms, fractional coordinates:
Rb 0.250 0.250 0.250 (multiplicity 8)
Mg 0.000 0.000 0.000 (multiplicity 4)
Re 0.000 0.000 0.500 (multiplicity 4)
Br 0.000 0.000 0.255 (multiplicity 24)

Results
**Raw total energy**: -138.60 eV/cell
**Formation energy (no corrections)**: -83.3 kJ/mol of atoms
**V**: 1211.8 Å³ per cell

---

# GdPa2Co

A geometry-optimized GdPa2Co structure (GGA-PBE, the Alexandria database).

Unit cell a=3.5251 b=3.5251 c=26.9077 alpha=90.00 beta=90.00 gamma=120.00
Space group R-3m (No. 166, hexagonal axes)
Inequivalent atoms, fractional coordinates:
Gd 0.0000 0.0000 0.0000 (multiplicity 3)
Pa 0.0000 0.0000 0.2291 (multiplicity 6)
Co 0.0000 0.0000 0.5000 (multiplicity 3)

Results
**Calculated formation energy**: 0.00 eV/f.u.
**Raw total energy**: -120.54 eV/cell
**V**: 289.6 Å³ per cell

---

# Pr3Nd4Tl

A geometry-optimized Pr3Nd4Tl structure (GGA-PBE, the Alexandria database).

Unit cell a=4.291 b=4.291 c=14.665 alpha=90.00 beta=90.00 gamma=90.00
Space group P4/mmm (No. 123)
Inequivalent atoms, fractional coordinates:
Pr 0.000 0.000 0.000 (multiplicity 1)
Pr 0.000 0.000 0.252 (multiplicity 2)
Nd 0.500 0.500 0.131 (multiplicity 2)
Nd 0.500 0.500 0.389 (multiplicity 2)
Tl 0.000 0.000 0.500 (multiplicity 1)

Results
**Energy above the most stable polymorph in this dataset**: 54 meV per atom
**Calculated formation energy**: -0.11 eV/f.u.
**Raw total energy**: -35.89 eV/cell
**V**: 270.1 Å³ per cell

---

# LaNd4Tm

A geometry-optimized LaNd4Tm structure (GGA-PBE, the Alexandria database).

Unit cell a=5.9873 b=5.9873 c=20.3878 alpha=90.00 beta=90.00 gamma=120.00
Space group R-3m (No. 166, hexagonal axes)
Inequivalent atoms, fractional coordinates:
La 0.0000 0.0000 0.0000 (multiplicity 3)
Nd 0.0000 0.0000 0.1673 (multiplicity 6)
Nd 0.0000 0.0000 0.3357 (multiplicity 6)
Tm 0.0000 0.0000 0.5000 (multiplicity 3)

Results
**Energy above the most stable polymorph in this dataset**: 183 meV per atom
**Calculated formation energy**: 2.14 eV/f.u.
**Raw total energy**: -78.98 eV/cell
**V**: 632.9 Å³ per cell

---

# MgUNbO6

A geometry-optimized MgUNbO6 structure (GGA-PBE, the Alexandria database).

Unit cell a=5.3245 b=5.3245 c=9.1099 alpha=90.00 beta=90.00 gamma=120.00
Space group P-31c (No. 163)
Inequivalent atoms, fractional coordinates:
Mg 0.3333 0.6667 0.2500 (multiplicity 2)
U 0.3333 0.6667 0.7500 (multiplicity 2)
Nb 0.0000 0.0000 0.0000 (multiplicity 2)
O 0.0050 0.3192 0.1257 (multiplicity 12)

Results
**Raw total energy**: -155.27 eV/cell
**Formation energy (no corrections)**: -267.3 kJ/mol of atoms
**V**: 223.7 Å³ per cell

---

# Sr2Nb2Ru

A geometry-optimized Sr2Nb2Ru structure (GGA-PBE, the Alexandria database).

Unit cell a=3.640 b=3.640 c=20.945 alpha=90.00 beta=90.00 gamma=90.00
Space group I4/mmm (No. 139)
Inequivalent atoms, fractional coordinates:
Sr 0.000 0.000 0.090 (multiplicity 4)
Nb 0.000 0.500 0.250 (multiplicity 4)
Ru 0.000 0.000 0.500 (multiplicity 2)

Results
**Energy above the most stable polymorph in this dataset**: 0 meV per atom
**Calculated formation energy**: 4.11 eV/f.u.
**Raw total energy**: -57.34 eV/cell
**V**: 277.5 Å³ per cell

---

| no. | magnetic moment (Bohr magnetons per cell) |
| --- | --- |
| 1 | 0.0 |
| 2 | 0.0 |
| 3 | 2.3 |
| 4 | 0.0 |
| 5 | 0.8 |
| 6 | 0.0 |
| 7 | 20.7 |
| 8 | 26.0 |
| 9 | 0.0 |
| 10 | 4.0 |
| 11 | 0.0 |
| 12 | 0.0 |
| 13 | 0.0 |
| 14 | 0.0 |
| 15 | 0.0 |
| 16 | 0.0 |
| 17 | 5.3 |
| 18 | 0.0 |
| 19 | 0.0 |
| 20 | 5.9 |
| 21 | 21.7 |
| 22 | 0.0 |
| 23 | 0.1 |
| 24 | 2.0 |
| 25 | 1.9 |